<i>
Below is a geometry-optimized ZrTcH4 structure, with properties calculated at the GGA-PBE level.

a b c (Å): 3.298 5.081 6.083
angles (deg): 90.00 105.60 90.00
Atoms (fractional coordinates):
1 Zr 0.156 0.250 0.308
2 Zr 0.844 0.750 0.692
3 Tc 0.401 0.250 0.801
4 Tc 0.599 0.750 0.199
5 H 0.043 0.750 0.087
6 H 0.301 0.512 0.604
7 H 0.301 0.988 0.604
8 H 0.500 0.000 0.000
9 H 0.500 0.500 0.000
10 H 0.699 0.012 0.396
11 H 0.699 0.488 0.396
12 H 0.957 0.250 0.913

Calculated values
As for the space group: P2_1/m, No. 11.

***

<ii>
Below is a geometry-optimized ZrTcH4 structure, with properties calculated at the GGA-PBE level.

a b c (Å): 3.193 3.193 4.604
angles (deg): 90.00 90.14 90.00
Atoms (fractional coordinates):
1 Zr 0.000 0.000 0.000
2 Tc 0.500 0.500 0.500
3 H 0.000 0.500 0.285
4 H 0.000 0.500 0.715
5 H 0.499 0.000 0.715
6 H 0.501 0.000 0.285

Calculated values
As for the space group: P2/m, No. 10.

***

Most stable structure, least stable structure: <ii>, <i>.

***

<i>
Below is a geometry-optimized ZrTc3H structure, with properties calculated at the GGA-PBE level.

a b c (Å): 4.861 4.861 4.861
angles (deg): 90.00 90.00 90.00
Atoms (fractional coordinates):
1 Zr 0.000 0.000 0.000
2 Tc 0.000 0.000 0.500
3 Tc 0.000 0.500 0.000
4 Tc 0.500 0.000 0.000
5 H 0.500 0.500 0.500

Calculated values
As for the space group: Pm-3m, No. 221.

***

<ii>
Below is a geometry-optimized ZrTc3H structure, with properties calculated at the GGA-PBE level.

a b c (Å): 4.061 4.061 4.061
angles (deg): 90.00 90.00 90.00
Atoms (fractional coordinates):
1 Zr 0.000 0.000 0.000
2 Tc 0.000 0.500 0.500
3 Tc 0.500 0.000 0.500
4 Tc 0.500 0.500 0.000
5 H 0.500 0.500 0.500

Calculated values
As for the space group: Pm-3m, No. 221.

***

Most stable structure, least stable structure: <ii>, <i>.

***

<i>
Below is a geometry-optimized Zr3TcH structure, with properties calculated at the GGA-PBE level.

a b c (Å): 4.383 4.383 4.383
angles (deg): 90.00 90.00 90.00
Atoms (fractional coordinates):
1 Zr 0.000 0.000 0.500
2 Zr 0.000 0.500 0.000
3 Zr 0.500 0.000 0.000
4 Tc 0.500 0.500 0.500
5 H 0.000 0.000 0.000

Calculated values
As for the space group: Pm-3m, No. 221.

***

<ii>
Below is a geometry-optimized Zr3TcH structure, with properties calculated at the GGA-PBE level.

a b c (Å): 5.053 5.053 5.053
angles (deg): 90.00 90.00 90.00
Atoms (fractional coordinates):
1 Zr 0.000 0.000 0.500
2 Zr 0.000 0.500 0.000
3 Zr 0.500 0.000 0.000
4 Tc 0.000 0.000 0.000
5 H 0.500 0.500 0.500

Calculated values
As for the space group: Pm-3m, No. 221.

***

Most stable structure, least stable structure: <i>, <ii>.